First-principles (GGA-PBEsol) data for YZr2Te after structural relaxation, as listed in Alexandria via LeMat-Bulk.

a = 4.7168 Å, b = 5.8461 Å, c = 5.8461 Å
α = 36.55°, β = 90.00°, γ = 90.00°
With the nearest neighbours (Å) after each atom.
Fractional coordinates of all 4 atoms:
Y 0.0000 0.0000 0.0000  3 Zr 2.93-3.20, 4 Te 3.09
Zr 0.0000 0.7362 0.7362  3 Y 2.93-3.20, 2 Te 2.98, 4 Zr 3.05
Zr 0.5000 0.2898 0.2898  3 Te 3.04-3.13, 4 Zr 3.05
Te 0.5000 0.5716 0.5716  5 Zr 2.98-3.13, 4 Y 3.09

Computed properties:
The value obtained for the raw formation energy is -0.47 eV per atom.

=====

First-principles (GGA-PBEsol) data for LiTl2Hg after structural relaxation, as listed in Alexandria via LeMat-Bulk.

a = 3.3238 Å, b = 3.3238 Å, c = 8.3929 Å
α = 90.00°, β = 90.00°, γ = 90.00°
With the nearest neighbours (Å) after each atom.
Fractional coordinates of all 4 atoms:
Li 0.0000 0.0000 0.0000  4 Hg 2.80, 4 Tl 3.06
Tl 0.0000 0.0000 0.5346  8 Tl 3.32-3.45, 4 Hg 3.35
Tl 0.5000 0.5000 0.2332  4 Li 3.06, 4 Tl 3.32
Hg 0.5000 0.5000 0.8192  4 Li 2.80

Computed properties:
The calculated formation energy comes out at -62 kJ/mol of formula units. For the excess energy over the best structure of this formula in the dataset, the calculation gives 0 meV per atom.

=====

First-principles (GGA-PBEsol) data for Y2Al3Ga3B8O24 after structural relaxation, as listed in Alexandria via LeMat-Bulk.

a = 5.9324 Å, b = 5.9528 Å, c = 11.1582 Å
α = 97.98°, β = 97.78°, γ = 104.31°
With the nearest neighbours (Å) after each atom.
Fractional coordinates of all 40 atoms:
Y 0.0000 0.0000 0.0000  6 O 2.29-2.35
Y 0.4994 0.5022 0.5001  6 O 2.29-2.34
Al 0.3311 0.7779 0.7796  6 O 1.88-1.94
Al 0.4462 0.5579 0.9997  6 O 1.88-1.95
Al 0.8315 0.2799 0.2765  6 O 1.87-1.94
Ga 0.2248 0.6748 0.2236  6 O 1.92-2.00
Ga 0.7232 0.1738 0.7267  6 O 1.92-2.01
Ga 0.9499 0.0540 0.4997  6 O 1.92-2.00
B 0.0295 0.5835 0.5292  3 O 1.38
B 0.2526 0.2544 0.7540  3 O 1.38-1.39
B 0.3076 0.2003 0.2498  3 O 1.37-1.38
B 0.4212 0.9744 0.4734  3 O 1.37
B 0.5275 0.0877 0.0282  3 O 1.38-1.39
B 0.7503 0.7525 0.2483  3 O 1.38-1.39
B 0.8042 0.6963 0.7513  3 O 1.37-1.38
B 0.9175 0.4764 0.9742  3 O 1.37-1.38
O 0.0321 0.7846 0.8146  1 B 1.37
O 0.0333 0.1830 0.6790  1 B 1.38
O 0.1421 0.5538 0.0431  1 B 1.38
O 0.1552 0.3419 0.2512  1 B 1.38
O 0.2149 0.9758 0.1827  1 B 1.38
O 0.2380 0.6386 0.6118  1 B 1.38
O 0.2772 0.1216 0.4847  1 B 1.37
O 0.3282 0.4770 0.8264  1 B 1.39
O 0.3673 0.7622 0.3949  1 B 1.37
O 0.3855 0.2375 0.0137  1 B 1.38
O 0.3924 0.0995 0.7545  1 B 1.38
O 0.4527 0.8651 0.9550  1 B 1.39
O 0.5321 0.6778 0.1720  1 B 1.38
O 0.5346 0.2907 0.3139  1 B 1.37
O 0.6395 0.0459 0.5476  1 B 1.37
O 0.6544 0.8404 0.7556  1 B 1.38
O 0.7092 0.4727 0.6834  1 B 1.38
O 0.7376 0.1417 0.1099  1 B 1.38
O 0.7670 0.6170 0.9867  1 B 1.37
O 0.8229 0.9762 0.3195  1 B 1.39
O 0.8650 0.2619 0.8971  1 B 1.38
O 0.8820 0.7278 0.5159  1 B 1.38
O 0.8939 0.6016 0.2527  1 B 1.38
O 0.9583 0.3671 0.4514  1 B 1.38

Computed properties:
The value obtained for the raw formation energy is -2.64 eV per atom.